[1]
VASP calculation (PBE with a Hubbard U) on a relaxed structure of Rb2AlVF6.

The space group is I4/mmm (No. 139) and the conventional cell measures 5.670, 5.670 and 10.288 Å, with angles of 90.00, 90.00 and 90.00 degrees. The asymmetric unit holds Rb at (0.000, 0.500, 0.250), Al at (0.000, 0.000, 0.000), V at (0.000, 0.000, 0.500), F at (0.000, 0.000, 0.176) and F at (0.231, 0.231, 0.000).

[2]
VASP calculation (PBE with a Hubbard U) on a relaxed structure of RbAl2VF8.

The space group is R-3 (No. 148, hexagonal axes) and the conventional cell measures 5.5473, 5.5473 and 24.4984 Å, with angles of 90.00, 90.00 and 120.00 degrees. The asymmetric unit holds Rb at (0.0000, 0.0000, 0.0000), Al at (0.0000, 0.0000, 0.2392), V at (0.0000, 0.0000, 0.5000), F at (0.0000, 0.0000, 0.3087) and F at (0.0133, 0.6143, 0.8840).

Result set for DFT total energy: -5.23, -5.51 eV per atom, one per record in the order listed.